Entry 1:
Computed, not measured: Tb5Pm6Ho after structural relaxation at the PBE level of DFT.

Unit cell a=5.099 b=10.158 c=9.528 alpha=122.21 beta=105.53 gamma=89.99
Atoms (fractional coordinates):
Pm (0.500, 0.750, 0.000)
Ho (0.000, 0.000, 0.000)
Pm (0.500, 0.250, 0.000)
Tb (0.667, 0.667, 0.333)
Pm (0.833, 0.584, 0.667)
Pm (0.167, 0.416, 0.333)
Tb (0.334, 0.834, 0.667)
Tb (0.000, 0.500, 0.000)
Pm (0.833, 0.083, 0.667)
Tb (0.333, 0.333, 0.667)
Pm (0.167, 0.917, 0.333)
Tb (0.666, 0.166, 0.333)

Properties
Calculated volume   396 Å³/cell
Formation energy from the elements   0.0139 eV per atom
Energy relative to the lowest polymorph listed for this composition   2 meV/atom
Space group   Immm, No. 71

Entry 2:
Computed, not measured: POs after structural relaxation at the PBE level of DFT.

Unit cell a=4.820 b=3.095 c=7.588 alpha=90.00 beta=90.00 gamma=90.00
Atoms (fractional coordinates):
P (0.000, 0.500, 0.500)
P (0.500, 0.500, 0.000)
P (0.500, 0.000, 0.500)
Os (0.750, 0.750, 0.250)
P (0.000, 0.000, 0.000)
Os (0.250, 0.750, 0.750)
Os (0.250, 0.250, 0.250)
Os (0.750, 0.250, 0.750)

Properties
Calculated volume   113 Å³/cell
Formation energy from the elements   0.1042 eV per atom
Space group   F222, No. 22

Entry 3:
Computed, not measured: CrRe3Ni after structural relaxation at the PBE level of DFT.

Unit cell a=4.401 b=4.401 c=4.401 alpha=90.00 beta=90.00 gamma=90.00
Atoms (fractional coordinates):
Cr (0.000, 0.000, 0.000)
Re (0.000, 0.000, 0.500)
Re (0.500, 0.000, 0.000)
Ni (0.500, 0.500, 0.500)
Re (0.000, 0.500, 0.000)

Properties
Calculated volume   85 Å³/cell
Formation energy from the elements   1.7381 eV per atom
Energy relative to the lowest polymorph listed for this composition   0 meV/atom
Space group   Pm-3m, No. 221

Entry 4:
Computed, not measured: SrMgGaSb2 after structural relaxation at the PBE level of DFT.

Unit cell a=6.463 b=6.166 c=8.049 alpha=112.52 beta=90.00 gamma=90.00
Atoms (fractional coordinates):
Mg (0.500, 0.750, 0.000)
Sb (0.271, 0.138, 0.276)
Ga (0.000, 0.000, 0.000)
Ga (0.000, 0.500, 0.000)
Sb (0.729, 0.638, 0.276)
Sb (0.271, 0.362, 0.724)
Sr (0.768, 0.250, 0.500)
Sr (0.232, 0.750, 0.500)
Mg (0.500, 0.250, 0.000)
Sb (0.729, 0.862, 0.724)

Properties
Calculated volume   296 Å³/cell
Energy relative to the elements, uncorrected   -0.38 eV/atom
Space group   Cmme, No. 67

calculated volume of number 2 (POs)? 113 Å³/cell

What is the formula in the fourth record? SrMgGaSb2

Number 1 is which compound? Tb5Pm6Ho

Number 1 is which compound? Tb5Pm6Ho